No. 1
# LiAc3La2S6

An optimized crystal structure of LiAc3La2S6 (PBE-GGA, the Alexandria database).

Computed properties:
The value obtained for the formation energy (no corrections) is -190.17 kJ per mole of atoms.

```
LiAc3La2S6
1.0
3.639 -6.324 0.000
3.639 6.324 0.000
-2.447 0.000 6.844
Li Ac La S
1 3 2 6
Direct
0.000 0.000 0.000 Li
0.167 0.833 0.500 Ac
0.500 0.500 0.500 Ac
0.833 0.167 0.500 Ac
0.334 0.666 0.000 La
0.666 0.334 0.000 La
0.078 0.403 0.234 S
0.246 0.246 0.765 S
0.403 0.078 0.234 S
0.597 0.922 0.766 S
0.754 0.754 0.235 S
0.922 0.597 0.766 S
```

=====

No. 2
# LiAc3La3S8

An optimized crystal structure of LiAc3La3S8 (PBE-GGA, the Alexandria database).

Computed properties:
The value obtained for the formation energy (no corrections) is -194.43 kJ per mole of atoms.

```
LiAc3La3S8
1.0
4.179 2.413 6.888
-4.179 2.413 6.888
0.000 -4.826 6.888
Li Ac La S
1 3 3 8
Direct
0.000 0.000 0.000 Li
0.000 0.000 0.500 Ac
0.000 0.500 0.000 Ac
0.500 0.000 0.000 Ac
0.000 0.500 0.500 La
0.500 0.000 0.500 La
0.500 0.500 0.000 La
0.239 0.239 0.754 S
0.239 0.754 0.239 S
0.246 0.761 0.761 S
0.253 0.253 0.253 S
0.747 0.747 0.747 S
0.754 0.239 0.239 S
0.761 0.246 0.761 S
0.761 0.761 0.246 S
```

=====

No. 3
# LiAcLaS4

An optimized crystal structure of LiAcLaS4 (PBE-GGA, the Alexandria database).

Computed properties:
The value obtained for the formation energy (no corrections) is -168.86 kJ per mole of atoms.

```
LiAcLaS4
1.0
3.393 -8.028 0.000
3.393 8.028 0.000
0.000 0.000 5.818
Li Ac La S
2 2 2 8
Direct
0.220 0.780 0.750 Li
0.780 0.220 0.250 Li
0.114 0.886 0.250 Ac
0.886 0.114 0.750 Ac
0.386 0.614 0.250 La
0.614 0.386 0.750 La
0.000 0.500 0.000 S
0.000 0.500 0.500 S
0.070 0.930 0.750 S
0.434 0.566 0.750 S
0.500 0.000 0.000 S
0.500 0.000 0.500 S
0.566 0.434 0.250 S
0.930 0.070 0.250 S
```

=====

No. 4
# LiAcLaSb

An optimized crystal structure of LiAcLaSb (PBE-GGA, the Alexandria database).

Computed properties:
The value obtained for the formation energy (no corrections) is -44.99 kJ per mole of atoms.

```
LiAcLaSb
1.0
0.000 3.955 3.955
3.955 0.000 3.955
3.955 3.955 0.000
Li Ac La Sb
1 1 1 1
Direct
0.000 0.000 0.000 Li
0.250 0.250 0.250 Ac
0.750 0.750 0.750 La
0.500 0.500 0.500 Sb
```

=====

| no. | spin magnetization (μB/cell) | total energy (eV per atom) |
| --- | --- | --- |
| 1 | 0.00 | -6.043 |
| 2 | 0.00 | -6.151 |
| 3 | 0.00 | -5.673 |
| 4 | 0.01 | -4.234 |